Entry from the Alexandria database: Mn2GeRu at its PBEsol-relaxed geometry (meta-GGA SCAN).

a = 4.1038 Å, b = 4.1038 Å, c = 4.1038 Å
α = 60.00°, β = 60.00°, γ = 60.00°
Last column: nearest neighbours and their distance in Å.
Fractional coordinates of all 4 atoms:
Ru1 0.2500 0.2500 0.2500  4 Ge 2.51, 4 Mn 2.51
Ge1 0.0000 0.0000 0.0000  4 Mn 2.51, 4 Ru 2.51
Mn1 0.5000 0.5000 0.5000  4 Mn 2.51, 4 Ru 2.51
Mn2 0.7500 0.7500 0.7500  4 Mn 2.51, 4 Ge 2.51

## Properties
- energy of formation from the pure elements (eV per atom) = -0.366
- SG = No. 216